Record 1
{"formula": "Sr3Sn3Bi2Au", "functional": "PBE-GGA", "state": "optimized geometry", "total_energy_ha_per_atom": -0.1369, "space_group": "P-62m (189)", "lattice": [[8.4516, 0.0000, 0.0000], [-4.2258, 7.3193, 0.0000], [0.0000, 0.0000, 4.6054]], "species": ["Sr", "Sr", "Sr", "Sn", "Sn", "Sn", "Bi", "Bi", "Au"], "frac_coords": [[0.0000, 0.6101, 0.0000], [0.3899, 0.3899, 0.0000], [0.6101, 0.0000, 0.0000], [0.0000, 0.2273, 0.5000], [0.2273, 0.0000, 0.5000], [0.7727, 0.7727, 0.5000], [0.3333, 0.6667, 0.5000], [0.6667, 0.3333, 0.5000], [0.0000, 0.0000, 0.0000]]}

---

Record 2
{"formula": "Sr2Sn4BiAu3", "functional": "PBE-GGA", "state": "optimized geometry", "total_energy_ha_per_atom": -0.1374, "space_group": "P-4m2 (115)", "lattice": [[4.7211, 0.0000, 0.0000], [0.0000, 4.7211, 0.0000], [0.0000, 0.0000, 12.4459]], "species": ["Sr", "Sr", "Sn", "Sn", "Sn", "Sn", "Bi", "Au", "Au", "Au"], "frac_coords": [[0.0000, 0.5000, 0.2361], [0.5000, 0.0000, 0.7639], [0.0000, 0.0000, 0.0000], [0.0000, 0.5000, 0.6511], [0.5000, 0.0000, 0.3489], [0.5000, 0.5000, 0.0000], [0.0000, 0.0000, 0.5000], [0.0000, 0.5000, 0.8683], [0.5000, 0.0000, 0.1317], [0.5000, 0.5000, 0.5000]]}

---

Record 3
{"formula": "ThSnBiAu", "functional": "PBE-GGA", "state": "optimized geometry", "total_energy_ha_per_atom": -0.1807, "space_group": "F-43m (216)", "lattice": [[0.0000, 3.7910, 3.7910], [3.7910, 0.0000, 3.7910], [3.7910, 3.7910, 0.0000]], "species": ["Th", "Sn", "Bi", "Au"], "frac_coords": [[0.0000, 0.0000, 0.0000], [0.5000, 0.5000, 0.5000], [0.2500, 0.2500, 0.2500], [0.7500, 0.7500, 0.7500]]}

---

Record 4
{"formula": "TlSnBiAu", "functional": "PBE-GGA", "state": "optimized geometry", "total_energy_ha_per_atom": -0.1219, "space_group": "Cm (8)", "polymorph_energy_ev_per_atom": 0.000, "lattice": [[3.8554, -2.2261, 0.0000], [3.8554, 2.2261, 0.0000], [-2.5503, 0.0000, 7.8335]], "species": ["Tl", "Sn", "Bi", "Au"], "frac_coords": [[0.0000, 0.0000, 0.0000], [0.8653, 0.8653, 0.6007], [0.4640, 0.4640, 0.3954], [0.7257, 0.7257, 0.1777]]}

---

Record 5
{"formula": "TlSn2BiAu4", "functional": "PBE-GGA", "state": "optimized geometry", "total_energy_ha_per_atom": -0.1278, "space_group": "Fmmm (69)", "lattice": [[0.0000, 4.1778, 5.7714], [4.1528, 0.0000, 5.7714], [4.1528, 4.1778, 0.0000]], "species": ["Tl", "Sn", "Sn", "Bi", "Au", "Au", "Au", "Au"], "frac_coords": [[0.0000, 0.0000, 0.0000], [0.2500, 0.2500, 0.2500], [0.7500, 0.7500, 0.7500], [0.5000, 0.5000, 0.5000], [0.0000, 0.0000, 0.5000], [0.2481, 0.2481, 0.7519], [0.5000, 0.5000, 0.0000], [0.7519, 0.7519, 0.2481]]}

---

Record 6
{"formula": "TlSnBiAu2", "functional": "PBE-GGA", "state": "optimized geometry", "total_energy_ha_per_atom": -0.1262, "space_group": "C2/m (12)", "lattice": [[6.9699, -2.2769, 0.0000], [6.9699, 2.2769, 0.0000], [-6.8351, 0.0000, 8.5849]], "species": ["Tl", "Tl", "Sn", "Sn", "Bi", "Bi", "Au", "Au", "Au", "Au"], "frac_coords": [[0.1444, 0.1444, 0.1669], [0.8556, 0.8556, 0.8331], [0.0927, 0.0927, 0.4535], [0.9073, 0.9073, 0.5465], [0.3740, 0.3740, 0.1156], [0.6260, 0.6260, 0.8844], [0.1733, 0.1733, 0.7593], [0.3545, 0.3545, 0.6444], [0.6455, 0.6455, 0.3556], [0.8267, 0.8267, 0.2407]]}

---

Record 7
{"formula": "TlSnBiAu", "functional": "PBE-GGA", "state": "optimized geometry", "total_energy_ha_per_atom": -0.1215, "space_group": "F-43m (216)", "polymorph_energy_ev_per_atom": 0.010, "lattice": [[0.0000, 3.7783, 3.7783], [3.7783, 0.0000, 3.7783], [3.7783, 3.7783, 0.0000]], "species": ["Tl", "Sn", "Bi", "Au"], "frac_coords": [[0.0000, 0.0000, 0.0000], [0.5000, 0.5000, 0.5000], [0.7500, 0.7500, 0.7500], [0.2500, 0.2500, 0.2500]]}

---

Record 8
{"formula": "Sr3Bi4Au4", "functional": "PBE-GGA", "state": "optimized geometry", "total_energy_ha_per_atom": -0.1337, "space_group": "P-1 (2)", "lattice": [[4.6220, 0.0000, 0.0000], [-0.0073, 4.7744, 0.0000], [-2.2905, -2.3884, 15.1708]], "species": ["Sr", "Sr", "Sr", "Bi", "Bi", "Bi", "Bi", "Au", "Au", "Au", "Au"], "frac_coords": [[0.0000, 0.0000, 0.0000], [0.1412, 0.6422, 0.2847], [0.8588, 0.3578, 0.7153], [0.2495, 0.2499, 0.5001], [0.4067, 0.9053, 0.8107], [0.5933, 0.0947, 0.1893], [0.7505, 0.7501, 0.4999], [0.3147, 0.8137, 0.6277], [0.4546, 0.4557, 0.9114], [0.5454, 0.5443, 0.0886], [0.6853, 0.1863, 0.3723]]}

---

Record 9
{"formula": "Sr2Bi5Au3", "functional": "PBE-GGA", "state": "optimized geometry", "total_energy_ha_per_atom": -0.1337, "space_group": "Ibam (72)", "lattice": [[-5.7223, 8.2971, 3.3591], [5.7223, -8.2971, 3.3591], [5.7223, 8.2971, -3.3591]], "species": ["Sr", "Sr", "Sr", "Sr", "Bi", "Bi", "Bi", "Bi", "Bi", "Bi", "Bi", "Bi", "Bi", "Bi", "Au", "Au", "Au", "Au", "Au", "Au"], "frac_coords": [[0.0954, 0.2307, 0.3261], [0.4046, 0.7307, 0.1353], [0.5954, 0.2693, 0.8647], [0.9046, 0.7693, 0.6739], [0.0437, 0.7500, 0.2937], [0.1270, 0.9004, 0.0274], [0.2500, 0.7500, 0.5000], [0.3730, 0.4004, 0.7734], [0.4563, 0.7500, 0.7063], [0.5437, 0.2500, 0.2937], [0.6270, 0.5996, 0.2266], [0.7500, 0.2500, 0.5000], [0.8730, 0.0996, 0.9726], [0.9563, 0.2500, 0.7063], [0.0983, 0.6619, 0.7603], [0.2500, 0.2500, 0.0000], [0.4017, 0.1619, 0.5636], [0.5983, 0.8381, 0.4364], [0.7500, 0.7500, 0.0000], [0.9017, 0.3381, 0.2397]]}

---

Record 10
{"formula": "SrBi2Au", "functional": "PBE-GGA", "state": "optimized geometry", "total_energy_ha_per_atom": -0.1348, "space_group": "I4/mmm (139)", "lattice": [[-2.4309, 2.4309, 9.9245], [2.4309, -2.4309, 9.9245], [2.4309, 2.4309, -9.9245]], "species": ["Sr", "Sr", "Bi", "Bi", "Bi", "Bi", "Au", "Au"], "frac_coords": [[0.1326, 0.1326, 0.0000], [0.8674, 0.8674, 0.0000], [0.0000, 0.5000, 0.5000], [0.3396, 0.3396, 0.0000], [0.5000, 0.0000, 0.5000], [0.6604, 0.6604, 0.0000], [0.2500, 0.7500, 0.5000], [0.7500, 0.2500, 0.5000]]}

---

Record 11
{"formula": "SrBi4Au2", "functional": "PBE-GGA", "state": "optimized geometry", "total_energy_ha_per_atom": -0.1353, "space_group": "Cmmm (65)", "lattice": [[2.3589, -9.4969, 0.0000], [2.3589, 9.4969, 0.0000], [0.0000, 0.0000, 4.6882]], "species": ["Sr", "Bi", "Bi", "Bi", "Bi", "Au", "Au"], "frac_coords": [[0.0000, 0.0000, 0.0000], [0.1658, 0.8342, 0.5000], [0.3291, 0.6709, 0.0000], [0.6709, 0.3291, 0.0000], [0.8342, 0.1658, 0.5000], [0.4288, 0.5712, 0.5000], [0.5712, 0.4288, 0.5000]]}

---

Record 12
{"formula": "Sr6BiAu5", "functional": "PBE-GGA", "state": "optimized geometry", "total_energy_ha_per_atom": -0.1208, "space_group": "P2/m (10)", "lattice": [[5.4682, 0.0000, 0.0000], [0.0000, 7.8791, 0.0000], [-2.7250, 0.0000, 8.2852]], "species": ["Sr", "Sr", "Sr", "Sr", "Sr", "Sr", "Bi", "Au", "Au", "Au", "Au", "Au"], "frac_coords": [[0.0000, 0.2406, 0.0000], [0.0000, 0.7594, 0.0000], [0.3306, 0.2454, 0.6606], [0.3306, 0.7546, 0.6606], [0.6694, 0.2454, 0.3394], [0.6694, 0.7546, 0.3394], [0.5000, 0.5000, 0.0000], [0.1647, 0.0000, 0.3312], [0.1692, 0.5000, 0.3398], [0.5000, 0.0000, 0.0000], [0.8308, 0.5000, 0.6602], [0.8353, 0.0000, 0.6688]]}

---

> What is the formula in the third record?

ThSnBiAu